1.
The following is a DFT calculation (PBE) of LaTcHg2 after structural relaxation.

Output
ΔE_f: 0.202 eV/atom
energy above the most stable polymorph in this dataset: 70 meV per atom
SG: P4mm, No. 99

a = 3.578 Å, b = 3.569 Å, c = 7.427 Å
α = 90.00°, β = 90.00°, γ = 90.00°
Fractional coordinates of all 4 atoms:
Hg 0.000 0.000 0.963
Hg 0.500 0.500 0.212
La 0.000 0.000 0.539
Tc 0.500 0.500 0.786

2.
The following is a DFT calculation (PBE) of Pr2InAu9 after structural relaxation.

Output
ΔE_f: -0.332 eV/atom
SG: R-3m, No. 166

a = 5.761 Å, b = 5.761 Å, c = 9.729 Å
α = 72.78°, β = 72.78°, γ = 60.00°
Fractional coordinates of all 12 atoms:
Pr 0.863 0.863 0.410
Pr 0.137 0.137 0.590
In 0.000 0.000 0.000
Au 0.666 0.666 0.001
Au 0.334 0.334 0.999
Au 0.500 0.500 0.500
Au 0.412 0.412 0.256
Au 0.921 0.412 0.256
Au 0.412 0.921 0.256
Au 0.588 0.588 0.744
Au 0.588 0.079 0.744
Au 0.079 0.588 0.744

Q: Look up the ΔE_f of the second one.
A: -0.332 eV/atom